# Ac3CoTe

Ac3CoTe after structural relaxation (PBE, Alexandria via LeMat-Bulk).

Cell: 5.5780 5.5780 5.5780 Å, 90.00 90.00 90.00°
Fractional coordinates of all 5 atoms:
Ac (0.5000, 0.0000, 0.0000)
Ac (0.0000, 0.0000, 0.5000)
Ac (0.0000, 0.5000, 0.0000)
Te (0.5000, 0.5000, 0.5000)
Co (0.0000, 0.0000, 0.0000)

Output
Excess energy over the best structure of this formula in the dataset in eV per atom: 0.122
Spin magnetization in μB per formula unit: 0.000
Calculated density in g/cm³: 8.3
Symmetry: Pm-3m (221)
Formation energy (no corrections) in eV per atom: -0.430
DOS(E_F) in states/eV/atom: 0.66

# Ac3CoTe

Ac3CoTe after structural relaxation (PBE, Alexandria via LeMat-Bulk).

Cell: 4.2412 9.5422 8.8596 Å, 104.58 90.00 90.00°
Fractional coordinates of all 10 atoms:
Ac (0.2500, 0.7446, 0.9226)
Ac (0.7500, 0.4135, 0.6871)
Ac (0.7500, 0.2554, 0.0774)
Ac (0.7500, 0.9442, 0.3059)
Ac (0.2500, 0.0558, 0.6941)
Ac (0.2500, 0.5865, 0.3129)
Te (0.7500, 0.7608, 0.6084)
Te (0.2500, 0.2392, 0.3916)
Co (0.2500, 0.4503, 0.9621)
Co (0.7500, 0.5497, 0.0379)

Output
Excess energy over the best structure of this formula in the dataset in eV per atom: 0.000
Spin magnetization in μB per formula unit: 0.578
Calculated density in g/cm³: 8.3
Symmetry: P2_1/m (11)
Formation energy (no corrections) in eV per atom: -0.552
DOS(E_F) in states/eV/atom: 1.04

# Ac2CoTe

Ac2CoTe after structural relaxation (PBE, Alexandria via LeMat-Bulk).

Cell: 4.3471 4.3471 8.3073 Å, 74.83 74.83 60.00°
Fractional coordinates of all 4 atoms:
Ac (0.7358, 0.7358, 0.7927)
Ac (0.2642, 0.2642, 0.2073)
Te (0.5000, 0.5000, 0.5000)
Co (0.0000, 0.0000, 0.0000)

Output
Spin magnetization in μB per formula unit: 0.000
Calculated density in g/cm³: 8.2
Symmetry: R-3m (166)
Formation energy (no corrections) in eV per atom: -0.632
DOS(E_F) in states/eV/atom: 0.52

# Ac3Co5Te12

Ac3Co5Te12 after structural relaxation (PBE, Alexandria via LeMat-Bulk).

Cell: 14.5647 14.5647 14.5647 Å, 109.47 109.47 109.47°
Fractional coordinates of all 80 atoms:
Co (0.5000, 0.5000, 0.0000)
Co (0.1250, 0.7500, 0.3750)
Co (0.5000, 0.0000, 0.5000)
Co (0.5000, 0.5000, 0.5000)
Co (0.0000, 0.5000, 0.5000)
Co (0.3750, 0.2500, 0.1250)
Co (0.2500, 0.3750, 0.6250)
Co (0.8750, 0.2500, 0.6250)
Co (0.7500, 0.6250, 0.3750)
Co (0.0000, 0.0000, 0.5000)
Co (0.6250, 0.8750, 0.2500)
Co (0.5000, 0.0000, 0.0000)
Co (0.3750, 0.1250, 0.7500)
Co (0.8750, 0.6250, 0.7500)
Co (0.0000, 0.5000, 0.0000)
Co (0.2500, 0.8750, 0.1250)
Co (0.6250, 0.7500, 0.8750)
Co (0.0000, 0.0000, 0.0000)
Co (0.1250, 0.3750, 0.2500)
Co (0.7500, 0.1250, 0.8750)
Te (0.5903, 0.9846, 0.6795)
Te (0.8943, 0.5892, 0.9097)
Te (0.3205, 0.5154, 0.4097)
Te (0.5892, 0.8943, 0.4097)
Te (0.3051, 0.8943, 0.9846)
Te (0.0903, 0.9108, 0.1057)
Te (0.4108, 0.3051, 0.3205)
Te (0.8943, 0.3051, 0.4846)
Te (0.9097, 0.0892, 0.8943)
Te (0.8051, 0.4846, 0.3943)
Te (0.9846, 0.3943, 0.3051)
Te (0.0892, 0.1795, 0.1949)
Te (0.1057, 0.4108, 0.0903)
Te (0.6795, 0.4846, 0.5903)
Te (0.0892, 0.9097, 0.3943)
Te (0.5154, 0.1949, 0.1057)
Te (0.6949, 0.1057, 0.0154)
Te (0.0154, 0.4097, 0.8205)
Te (0.5892, 0.6949, 0.6795)
Te (0.3205, 0.8051, 0.4108)
Te (0.3943, 0.9846, 0.8051)
Te (0.9108, 0.8205, 0.8051)
Te (0.4108, 0.1057, 0.5903)
Te (0.4846, 0.8051, 0.8943)
Te (0.9108, 0.0903, 0.6057)
Te (0.1795, 0.0892, 0.6949)
Te (0.4846, 0.6795, 0.0903)
Te (0.1949, 0.5154, 0.6057)
Te (0.8205, 0.9097, 0.0154)
Te (0.1057, 0.6949, 0.5154)
Te (0.9846, 0.5903, 0.1795)
Te (0.3943, 0.4097, 0.0892)
Te (0.5903, 0.6057, 0.4108)
Te (0.4097, 0.0154, 0.3205)
Te (0.4097, 0.3943, 0.5892)
Te (0.8205, 0.9108, 0.3051)
Te (0.0154, 0.6057, 0.6949)
Te (0.8051, 0.3205, 0.9108)
Te (0.9097, 0.8205, 0.5154)
Te (0.6795, 0.1949, 0.5892)
Te (0.5154, 0.3205, 0.9097)
Te (0.0903, 0.1795, 0.4846)
Te (0.6057, 0.0154, 0.1949)
Te (0.6949, 0.5892, 0.1795)
Te (0.1949, 0.6795, 0.0892)
Te (0.3051, 0.4108, 0.8205)
Te (0.6057, 0.5903, 0.9108)
Te (0.1795, 0.0903, 0.9846)
Ac (0.8750, 0.7500, 0.1250)
Ac (0.2500, 0.6250, 0.8750)
Ac (0.3750, 0.6250, 0.2500)
Ac (0.1250, 0.2500, 0.8750)
Ac (0.6250, 0.2500, 0.3750)
Ac (0.3750, 0.7500, 0.6250)
Ac (0.2500, 0.1250, 0.3750)
Ac (0.6250, 0.3750, 0.7500)
Ac (0.1250, 0.8750, 0.7500)
Ac (0.7500, 0.8750, 0.6250)
Ac (0.7500, 0.3750, 0.1250)
Ac (0.8750, 0.1250, 0.2500)

Output
Spin magnetization in μB per formula unit: 6.592
Calculated density in g/cm³: 7.0
Symmetry: Ia-3d (230)
Formation energy (no corrections) in eV per atom: -0.467
DOS(E_F) in states/eV/atom: 1.03

# Ac12Co6Te

Ac12Co6Te after structural relaxation (PBE, Alexandria via LeMat-Bulk).

Cell: 9.2504 9.2506 9.2505 Å, 109.47 109.47 109.47°
Fractional coordinates of all 19 atoms:
Ac (0.8111, 0.6856, 0.4966)
Ac (0.8111, 0.3144, 0.1255)
Ac (0.6856, 0.8745, 0.1889)
Ac (0.5034, 0.1889, 0.3144)
Ac (0.3144, 0.1255, 0.8111)
Ac (0.1255, 0.8111, 0.3144)
Ac (0.8745, 0.1889, 0.6856)
Ac (0.1889, 0.6856, 0.8745)
Ac (0.6856, 0.4966, 0.8111)
Ac (0.3144, 0.5034, 0.1889)
Ac (0.1889, 0.3144, 0.5034)
Ac (0.4966, 0.8111, 0.6856)
Co (0.6078, 0.5000, 0.1078)
Co (0.3922, 0.5000, 0.8922)
Co (0.1078, 0.6078, 0.5000)
Co (0.5000, 0.8922, 0.3922)
Co (0.8922, 0.3922, 0.5000)
Co (0.5000, 0.1078, 0.6078)
Te (0.0000, 0.0000, 0.0000)

Output
Spin magnetization in μB per formula unit: 0.001
Calculated density in g/cm³: 8.7
Symmetry: Im-3 (204)
Formation energy (no corrections) in eV per atom: -0.150
DOS(E_F) in states/eV/atom: 0.94

# Ac3CoTe2

Ac3CoTe2 after structural relaxation (PBE, Alexandria via LeMat-Bulk).

Cell: 4.7018 4.7074 10.0698 Å, 103.52 103.50 90.01°
Fractional coordinates of all 6 atoms:
Ac (0.2933, 0.2948, 0.5922)
Ac (0.5751, 0.5765, 0.1557)
Ac (0.9342, 0.9357, 0.8740)
Co (0.4342, 0.4358, 0.8740)
Te (0.1107, 0.1121, 0.2269)
Te (0.7577, 0.7592, 0.5210)

Output
Spin magnetization in μB per formula unit: 0.002
Calculated density in g/cm³: 7.9
Symmetry: I4/mmm (139)
Formation energy (no corrections) in eV per atom: -0.934
DOS(E_F) in states/eV/atom: 0.71